No. 1
An optimized crystal structure of YHgOs2. Source: Alexandria via LeMat-Bulk, functional PBE-GGA.

a b c (Å): 3.244 4.610 4.922
angles (deg): 90.00 90.00 90.00
Fractional positions:
Y1 0.000 0.000 0.000
Hg1 0.500 0.000 0.500
Os1 0.000 0.500 0.500
Os2 0.500 0.500 0.000

The value obtained for the final energy is -6.763 eV/atom. For the magnetization, the calculation gives 0.0 μB/f.u.

---

No. 2
An optimized crystal structure of YHgOs2. Source: Alexandria via LeMat-Bulk, functional PBE-GGA.

a b c (Å): 10.038 10.038 10.038
angles (deg): 16.94 16.94 16.94
Fractional positions:
Y1 0.000 0.000 0.000
Hg1 0.762 0.762 0.762
Os1 0.246 0.246 0.246
Os2 0.513 0.513 0.513

The value obtained for the final energy is -6.764 eV/atom. For the magnetization, the calculation gives 0.4 μB/f.u.

---

No. 3
An optimized crystal structure of Y8HgOs2. Source: Alexandria via LeMat-Bulk, functional PBE-GGA.

a b c (Å): 7.857 7.857 5.524
angles (deg): 97.67 97.67 112.19
Fractional positions:
Y1 0.064 0.332 0.585
Y2 0.244 0.756 0.000
Y3 0.332 0.064 0.585
Y4 0.380 0.380 0.199
Y5 0.620 0.620 0.801
Y6 0.668 0.936 0.415
Y7 0.756 0.244 0.000
Y8 0.936 0.668 0.415
Hg1 0.000 0.000 0.000
Os1 0.314 0.686 0.500
Os2 0.686 0.314 0.500

The value obtained for the final energy is -6.961 eV/atom. For the magnetization, the calculation gives 0.0 μB/f.u.

---

No. 4
An optimized crystal structure of YHgOs2. Source: Alexandria via LeMat-Bulk, functional PBE-GGA.

a b c (Å): 3.179 4.710 5.374
angles (deg): 90.00 90.11 90.00
Fractional positions:
Y1 0.000 0.000 0.000
Hg1 0.500 0.000 0.500
Os1 0.499 0.500 0.782
Os2 0.501 0.500 0.218

The value obtained for the final energy is -6.881 eV/atom. For the magnetization, the calculation gives 0.0 μB/f.u.

---

No. 5
An optimized crystal structure of YHg2Os. Source: Alexandria via LeMat-Bulk, functional PBE-GGA.

a b c (Å): 4.883 4.883 4.883
angles (deg): 60.00 60.00 60.00
Fractional positions:
Y1 0.000 0.000 0.000
Hg1 0.250 0.250 0.250
Hg2 0.750 0.750 0.750
Os1 0.500 0.500 0.500

The relative energy among the computed polymorphs is 0.1539 eV per atom. The value obtained for the final energy is -4.325 eV/atom. For the magnetization, the calculation gives 0.0 μB/f.u.

---

No. 6
An optimized crystal structure of YHgOs2. Source: Alexandria via LeMat-Bulk, functional PBE-GGA.

a b c (Å): 10.263 10.263 10.263
angles (deg): 156.07 156.07 34.09
Fractional positions:
Y1 0.000 0.000 0.000
Y2 0.750 0.250 0.500
Hg1 0.250 0.750 0.500
Hg2 0.500 0.500 0.000
Os1 0.238 0.625 0.113
Os2 0.375 0.488 0.613
Os3 0.512 0.125 0.887
Os4 0.875 0.762 0.387

The value obtained for the final energy is -6.722 eV/atom. For the magnetization, the calculation gives 0.0 μB/f.u.

---

No. 7
An optimized crystal structure of YHg2Os. Source: Alexandria via LeMat-Bulk, functional PBE-GGA.

a b c (Å): 9.092 9.092 9.092
angles (deg): 21.92 21.92 21.92
Fractional positions:
Y1 0.000 0.000 0.000
Hg1 0.239 0.239 0.239
Hg2 0.483 0.483 0.483
Os1 0.739 0.739 0.739

The relative energy among the computed polymorphs is 0.2123 eV per atom. The value obtained for the final energy is -4.266 eV/atom. For the magnetization, the calculation gives 0.0 μB/f.u.

---

No. 8
An optimized crystal structure of YHg2Os. Source: Alexandria via LeMat-Bulk, functional PBE-GGA.

a b c (Å): 4.242 4.242 4.566
angles (deg): 90.00 90.00 90.00
Fractional positions:
Y1 0.000 0.000 0.000
Hg1 0.000 0.500 0.500
Hg2 0.500 0.000 0.500
Os1 0.500 0.500 0.000

The relative energy among the computed polymorphs is 0.0824 eV per atom. The value obtained for the final energy is -4.396 eV/atom. For the magnetization, the calculation gives 0.0 μB/f.u.

---

No. 9
An optimized crystal structure of YHgOs2. Source: Alexandria via LeMat-Bulk, functional PBE-GGA.

a b c (Å): 5.624 5.624 2.927
angles (deg): 103.96 103.96 117.38
Fractional positions:
Y1 0.000 0.000 0.000
Hg1 0.500 0.500 0.000
Os1 0.000 0.500 0.500
Os2 0.500 0.000 0.500

The value obtained for the final energy is -6.762 eV/atom. For the magnetization, the calculation gives 0.0 μB/f.u.

---

No. 10
An optimized crystal structure of YHg2Os. Source: Alexandria via LeMat-Bulk, functional PBE-GGA.

a b c (Å): 3.753 3.753 5.961
angles (deg): 90.00 90.00 90.00
Fractional positions:
Y1 0.000 0.000 0.000
Hg1 0.500 0.500 0.268
Hg2 0.500 0.500 0.732
Os1 0.000 0.000 0.500

The relative energy among the computed polymorphs is 0.2114 eV per atom. The value obtained for the final energy is -4.267 eV/atom. For the magnetization, the calculation gives 0.6 μB/f.u.

---

No. 11
An optimized crystal structure of Y3HgOs. Source: Alexandria via LeMat-Bulk, functional PBE-GGA.

a b c (Å): 9.419 8.692 5.854
angles (deg): 78.03 64.52 37.44
Fractional positions:
Y1 0.199 0.199 0.801
Y2 0.202 0.577 0.423
Y3 0.423 0.798 0.202
Y4 0.577 0.202 0.798
Y5 0.798 0.423 0.577
Y6 0.801 0.801 0.199
Hg1 0.214 0.786 0.786
Hg2 0.786 0.214 0.214
Os1 0.250 0.250 0.250
Os2 0.750 0.750 0.750

The relative energy among the computed polymorphs is 0.0000 eV per atom. The value obtained for the final energy is -6.529 eV/atom. For the magnetization, the calculation gives 0.0 μB/f.u.

---

No. 12
An optimized crystal structure of YHg2Os. Source: Alexandria via LeMat-Bulk, functional PBE-GGA.

a b c (Å): 3.631 4.202 6.119
angles (deg): 90.00 107.09 90.00
Fractional positions:
Y1 0.000 0.000 0.000
Hg1 0.271 0.000 0.543
Hg2 0.660 0.500 0.326
Os1 0.426 0.500 0.850

The relative energy among the computed polymorphs is 0.0732 eV per atom. The value obtained for the final energy is -4.406 eV/atom. For the magnetization, the calculation gives 0.0 μB/f.u.

---

Number 1: V 18.4 A^3/atom, formation enthalpy at 0 K 2.17 eV/f.u.. Number 2: V 18.7 A^3/atom, formation enthalpy at 0 K 2.17 eV/f.u.. Number 3: V 27.9 A^3/atom, formation enthalpy at 0 K -2.10 eV/f.u.. Number 4: V 20.1 A^3/atom, formation enthalpy at 0 K 1.70 eV/f.u.. Number 5: V 20.6 A^3/atom, formation enthalpy at 0 K 1.00 eV/f.u.. Number 6: V 22.2 A^3/atom, formation enthalpy at 0 K 2.34 eV/f.u.. Number 7: V 22.9 A^3/atom, formation enthalpy at 0 K 1.23 eV/f.u.. Number 8: V 20.5 A^3/atom, formation enthalpy at 0 K 0.71 eV/f.u.. Number 9: V 18.2 A^3/atom, formation enthalpy at 0 K 2.18 eV/f.u.. Number 10: V 21.0 A^3/atom, formation enthalpy at 0 K 1.23 eV/f.u.. Number 11: V 25.5 A^3/atom, formation enthalpy at 0 K -1.72 eV/f.u.. Number 12: V 22.3 A^3/atom, formation enthalpy at 0 K 0.68 eV/f.u..